# Al5Si2Ni, optimized geometry, DFT GGA-PBE
data_Al5Si2Ni
_cell_length_a 5.9514
_cell_length_b 11.4044
_cell_length_c 3.7850
_cell_angle_alpha 90.00
_cell_angle_beta 90.00
_cell_angle_gamma 90.00
_space_group_name_H-M_alt 'P b a m'
_space_group_IT_number 55
loop_
_space_group_symop_operation_xyz
'x,y,z'
'-x,-y,-z'
'-x,-y,z'
'x,y,-z'
'x+1/2,-y+1/2,-z'
'-x+1/2,y+1/2,z'
'-x+1/2,y+1/2,-z'
'x+1/2,-y+1/2,z'
loop_
_atom_site_label
_atom_site_type_symbol
_atom_site_fract_x
_atom_site_fract_y
_atom_site_fract_z
_atom_site_occupancy
Al1 Al 0.0000 0.0000 0.0000 1
Al2 Al 0.1450 0.3973 0.5000 1
Al3 Al 0.1494 0.6984 0.0000 1
Si1 Si 0.0480 0.1690 0.5000 1
Ni1 Ni 0.0000 0.5000 0.0000 1
# ΔE to the lowest computed polymorph = 0.0000 eV/atom
# uncorrected formation energy = -17.1 meV per atom

# KCd2As, optimized geometry, DFT GGA-PBE
data_KCd2As
_cell_length_a 3.4533
_cell_length_b 5.1944
_cell_length_c 5.9560
_cell_angle_alpha 90.00
_cell_angle_beta 90.07
_cell_angle_gamma 90.00
_space_group_name_H-M_alt 'P 1 2/m 1'
_space_group_IT_number 10
loop_
_space_group_symop_operation_xyz
'x,y,z'
'-x,-y,-z'
'-x,y,-z'
'x,-y,z'
loop_
_atom_site_label
_atom_site_type_symbol
_atom_site_fract_x
_atom_site_fract_y
_atom_site_fract_z
_atom_site_occupancy
K1 K 0.0000 0.0000 0.0000 1
Cd1 Cd 0.4993 0.5000 0.7463 1
As1 As 0.5000 0.0000 0.5000 1
# energy of formation from the pure elements = -3.66 kJ/mol of atoms

# Er4TlIn2, optimized geometry, DFT GGA-PBE
data_Er4TlIn2
_cell_length_a 5.2161
_cell_length_b 5.2161
_cell_length_c 25.6237
_cell_angle_alpha 90.00
_cell_angle_beta 90.00
_cell_angle_gamma 120.00
_space_group_name_H-M_alt 'R -3 m'
_space_group_IT_number 166
_space_group_name_Hall '-R 3 2"'
loop_
_atom_site_label
_atom_site_type_symbol
_atom_site_fract_x
_atom_site_fract_y
_atom_site_fract_z
_atom_site_occupancy
Er1 Er 0.0000 0.0000 0.1195 1
Er2 Er 0.0000 0.0000 0.3720 1
Tl1 Tl 0.0000 0.0000 0.5000 1
In1 In 0.0000 0.0000 0.2519 1
# ΔE to the lowest computed polymorph = 0.0000 eV/atom
# energy of formation from the pure elements = -23.72 kJ/mol of atoms

# RbInRhPb2, optimized geometry, DFT GGA-PBE
data_RbInRhPb2
_cell_length_a 5.4582
_cell_length_b 5.4582
_cell_length_c 5.2910
_cell_angle_alpha 90.00
_cell_angle_beta 90.00
_cell_angle_gamma 90.00
_space_group_name_H-M_alt 'P 4/m m m'
_space_group_IT_number 123
_space_group_name_Hall '-P 4 2'
loop_
_atom_site_label
_atom_site_type_symbol
_atom_site_fract_x
_atom_site_fract_y
_atom_site_fract_z
_atom_site_occupancy
Rb1 Rb 0.0000 0.0000 0.0000 1
In1 In 0.5000 0.5000 0.0000 1
Rh1 Rh 0.5000 0.5000 0.5000 1
Pb1 Pb 0.0000 0.5000 0.5000 1
# energy of formation from the pure elements = 0.06 kJ/mol of atoms

# TlInNiBr6, optimized geometry, DFT GGA-PBE
data_TlInNiBr6
_cell_length_a 6.8691
_cell_length_b 6.8691
_cell_length_c 7.3863
_cell_angle_alpha 90.00
_cell_angle_beta 90.00
_cell_angle_gamma 120.00
_space_group_name_H-M_alt 'P 3 1 2'
_space_group_IT_number 149
loop_
_space_group_symop_operation_xyz
'x,y,z'
'-y,x-y,z'
'-x+y,-x,z'
'-y,-x,-z'
'-x+y,y,-z'
'x,x-y,-z'
loop_
_atom_site_label
_atom_site_type_symbol
_atom_site_fract_x
_atom_site_fract_y
_atom_site_fract_z
_atom_site_occupancy
Tl1 Tl 0.0000 0.0000 0.0000 1
In1 In 0.6667 0.3333 0.5000 1
Ni1 Ni 0.3333 0.6667 0.5000 1
Br1 Br 0.0177 0.3784 0.7035 1
# uncorrected formation energy = -651.8 meV per atom

# Nd7Ho2Th2, optimized geometry, DFT GGA-PBE
data_Nd7Ho2Th2
_cell_length_a 11.6330
_cell_length_b 11.5545
_cell_length_c 6.0884
_cell_angle_alpha 90.00
_cell_angle_beta 112.39
_cell_angle_gamma 90.00
_space_group_name_H-M_alt 'C 1 2/m 1'
_space_group_IT_number 12
loop_
_space_group_symop_operation_xyz
'x,y,z'
'-x,-y,-z'
'-x,y,-z'
'x,-y,z'
'x+1/2,y+1/2,z'
'-x+1/2,-y+1/2,-z'
'-x+1/2,y+1/2,-z'
'x+1/2,-y+1/2,z'
loop_
_atom_site_label
_atom_site_type_symbol
_atom_site_fract_x
_atom_site_fract_y
_atom_site_fract_z
_atom_site_occupancy
Nd1 Nd 0.0000 0.0000 0.0000 1
Nd2 Nd 0.0690 0.5000 0.7968 1
Nd3 Nd 0.1838 0.2255 0.1774 1
Ho1 Ho 0.2244 0.0000 0.6003 1
Th1 Th 0.0000 0.2135 0.5000 1
# ΔE to the lowest computed polymorph = 0.0083 eV/atom
# energy of formation from the pure elements = 17.53 kJ/mol of atoms

# AlSnC2, optimized geometry, DFT GGA-PBE
data_AlSnC2
_cell_length_a 5.8281
_cell_length_b 5.8281
_cell_length_c 5.8281
_cell_angle_alpha 90.00
_cell_angle_beta 90.00
_cell_angle_gamma 90.00
_space_group_name_H-M_alt 'F m -3 m'
_space_group_IT_number 225
_space_group_name_Hall '-F 4 2 3'
loop_
_atom_site_label
_atom_site_type_symbol
_atom_site_fract_x
_atom_site_fract_y
_atom_site_fract_z
_atom_site_occupancy
Al1 Al 0.0000 0.0000 0.0000 1
Sn1 Sn 0.0000 0.0000 0.5000 1
C1 C 0.2500 0.2500 0.2500 1
# ΔE to the lowest computed polymorph = 1.1680 eV/atom
# energy of formation from the pure elements = 179.97 kJ/mol of atoms

# BSb2AuI, optimized geometry, DFT GGA-PBE
data_BSb2AuI
_cell_length_a 4.9494
_cell_length_b 4.9494
_cell_length_c 4.7812
_cell_angle_alpha 90.00
_cell_angle_beta 90.00
_cell_angle_gamma 90.00
_space_group_name_H-M_alt 'P 4/m m m'
_space_group_IT_number 123
_space_group_name_Hall '-P 4 2'
loop_
_atom_site_label
_atom_site_type_symbol
_atom_site_fract_x
_atom_site_fract_y
_atom_site_fract_z
_atom_site_occupancy
B1 B 0.0000 0.0000 0.0000 1
Sb1 Sb 0.0000 0.5000 0.0000 1
Au1 Au 0.5000 0.5000 0.5000 1
I1 I 0.0000 0.0000 0.5000 1
# ΔE to the lowest computed polymorph = 0.0000 eV/atom
# uncorrected formation energy = 873.3 meV per atom

# LaAlTlGe2, optimized geometry, DFT GGA-PBE
data_LaAlTlGe2
_cell_length_a 4.9767
_cell_length_b 4.9767
_cell_length_c 5.2088
_cell_angle_alpha 90.00
_cell_angle_beta 90.00
_cell_angle_gamma 90.00
_space_group_name_H-M_alt 'P 4/m m m'
_space_group_IT_number 123
_space_group_name_Hall '-P 4 2'
loop_
_atom_site_label
_atom_site_type_symbol
_atom_site_fract_x
_atom_site_fract_y
_atom_site_fract_z
_atom_site_occupancy
La1 La 0.0000 0.0000 0.0000 1
Al1 Al 0.5000 0.5000 0.5000 1
Tl1 Tl 0.5000 0.5000 0.0000 1
Ge1 Ge 0.0000 0.5000 0.5000 1
# ΔE to the lowest computed polymorph = 0.0000 eV/atom
# energy of formation from the pure elements = 2.41 kJ/mol of atoms

# Cs2PaPd2O6, optimized geometry, DFT GGA-PBE
data_Cs2PaPd2O6
_cell_length_a 11.3852
_cell_length_b 6.2051
_cell_length_c 7.6411
_cell_angle_alpha 90.00
_cell_angle_beta 121.95
_cell_angle_gamma 90.00
_space_group_name_H-M_alt 'C 1 2/m 1'
_space_group_IT_number 12
loop_
_space_group_symop_operation_xyz
'x,y,z'
'-x,-y,-z'
'-x,y,-z'
'x,-y,z'
'x+1/2,y+1/2,z'
'-x+1/2,-y+1/2,-z'
'-x+1/2,y+1/2,-z'
'x+1/2,-y+1/2,z'
loop_
_atom_site_label
_atom_site_type_symbol
_atom_site_fract_x
_atom_site_fract_y
_atom_site_fract_z
_atom_site_occupancy
Cs1 Cs 0.2151 0.0000 0.1381 1
Pa1 Pa 0.0000 0.0000 0.5000 1
Pd1 Pd 0.1016 0.5000 0.2937 1
O1 O 0.9997 0.2456 0.2971 1
O2 O 0.2249 0.0000 0.7025 1
# uncorrected formation energy = -1551.1 meV per atom

# TiAl3V, optimized geometry, DFT GGA-PBE
data_TiAl3V
_cell_length_a 4.6479
_cell_length_b 4.6479
_cell_length_c 4.6479
_cell_angle_alpha 90.00
_cell_angle_beta 90.00
_cell_angle_gamma 90.00
_space_group_name_H-M_alt 'P m -3 m'
_space_group_IT_number 221
_space_group_name_Hall '-P 4 2 3'
loop_
_atom_site_label
_atom_site_type_symbol
_atom_site_fract_x
_atom_site_fract_y
_atom_site_fract_z
_atom_site_occupancy
Ti1 Ti 0.0000 0.0000 0.0000 1
Al1 Al 0.0000 0.5000 0.5000 1
V1 V 0.5000 0.5000 0.5000 1
# ΔE to the lowest computed polymorph = 0.8702 eV/atom
# energy of formation from the pure elements = 64.70 kJ/mol of atoms

# Ce2SiGe3Rh4, optimized geometry, DFT GGA-PBE
data_Ce2SiGe3Rh4
_cell_length_a 4.2272
_cell_length_b 4.2272
_cell_length_c 10.0612
_cell_angle_alpha 90.00
_cell_angle_beta 90.00
_cell_angle_gamma 90.00
_space_group_name_H-M_alt 'P -4 m 2'
_space_group_IT_number 115
loop_
_space_group_symop_operation_xyz
'x,y,z'
'y,-x,-z'
'-x,-y,z'
'-y,x,-z'
'-x,y,z'
'-y,-x,-z'
'x,-y,z'
'y,x,-z'
loop_
_atom_site_label
_atom_site_type_symbol
_atom_site_fract_x
_atom_site_fract_y
_atom_site_fract_z
_atom_site_occupancy
Ce1 Ce 0.0000 0.5000 0.2414 1
Si1 Si 0.5000 0.5000 0.0000 1
Ge1 Ge 0.0000 0.0000 0.0000 1
Ge2 Ge 0.0000 0.5000 0.6322 1
Rh1 Rh 0.0000 0.0000 0.5000 1
Rh2 Rh 0.0000 0.5000 0.8764 1
Rh3 Rh 0.5000 0.5000 0.5000 1
# uncorrected formation energy = -901.1 meV per atom

Number 1: raw total energy -4.43 eV/atom. Number 2: raw total energy -1.93 eV/atom. Number 3: raw total energy -3.97 eV/atom. Number 4: raw total energy -3.69 eV/atom. Number 5: raw total energy -2.98 eV/atom. Number 6: raw total energy -5.03 eV/atom. Number 7: raw total energy -4.68 eV/atom. Number 8: raw total energy -3.08 eV/atom. Number 9: raw total energy -4.03 eV/atom. Number 10: raw total energy -6.22 eV/atom. Number 11: raw total energy -4.98 eV/atom. Number 12: raw total energy -6.96 eV/atom.